Record 1
This record from Alexandria describes a geometry-optimized TePbC2 structure. The functional is PBE.

Cell and atoms, written as POSCAR:
```
TePbC2
1.0
0.000 3.211 3.211
3.211 0.000 3.211
3.211 3.211 0.000
Pb C Te
1 2 1
direct
0.500 0.500 0.500
0.750 0.750 0.750
0.250 0.250 0.250
0.000 0.000 0.000
```

Energy relative to the elements, uncorrected: 2.391 eV/atom

---

Record 2
This record from Alexandria describes a geometry-optimized Ta5Mo3 structure. The functional is PBE.

Cell and atoms, written as POSCAR:
```
Ta5Mo3
1.0
9.025 0.000 0.000
0.000 2.888 0.009
0.000 0.907 5.302
Mo Ta
3 5
direct
0.500 0.500 0.500
0.000 0.500 0.500
0.000 0.000 0.000
0.755 0.742 0.748
0.500 0.000 0.000
0.245 0.258 0.252
0.755 0.258 0.252
0.245 0.742 0.748
```

ΔE_f: -84 meV/atom

---

Record 3
This record from Alexandria describes a geometry-optimized Ba3Sm4O9 structure. The functional is PBE.

Cell and atoms, written as POSCAR:
```
Ba3Sm4O9
1.0
-1.326 -2.888 5.403
0.971 -6.165 0.579
8.048 -1.466 4.827
Sm O Ba
4 9 3
direct
0.573 0.573 0.281
0.699 0.699 0.904
0.262 0.262 0.215
0.135 0.135 0.595
0.953 0.396 0.087
0.565 0.953 0.087
0.396 0.565 0.087
0.419 0.995 0.749
0.995 0.837 0.749
0.427 0.871 0.422
0.280 0.427 0.422
0.837 0.419 0.749
0.871 0.280 0.422
0.428 0.428 0.717
0.002 0.002 0.994
0.833 0.833 0.500
```

Energy relative to the elements, uncorrected: -3.060 eV/atom

---

Record 4
This record from Alexandria describes a geometry-optimized GaCu2H structure. The functional is PBE.

Cell and atoms, written as POSCAR:
```
GaCu2H
1.0
-4.059 1.457 -2.224
1.901 -1.247 -4.286
-2.670 -3.711 -2.851
Cu H Ga
4 2 2
direct
0.469 0.125 0.250
0.875 0.719 0.750
0.281 0.625 0.250
0.375 0.531 0.750
0.250 0.750 0.500
0.500 0.500 0.000
0.000 0.000 0.000
0.750 0.250 0.500
```

Final energy: -3.478 eV/atom

---

Record 5
This record from Alexandria describes a geometry-optimized NbAg2PtF structure. The functional is PBE.

Cell and atoms, written as POSCAR:
```
NbAg2PtF
1.0
5.135 0.000 0.000
0.000 4.835 0.000
0.000 0.000 5.135
F Pt Nb Ag
1 1 1 2
direct
0.500 0.500 0.500
0.000 0.000 0.000
0.000 0.500 0.000
0.000 0.000 0.500
0.500 0.000 0.000
```

Energy relative to the elements, uncorrected: 0.586 eV/atom

---

Record 6
This record from Alexandria describes a geometry-optimized TaAgSe2 structure. The functional is PBE.

Cell and atoms, written as POSCAR:
```
TaAgSe2
1.0
6.026 0.000 0.000
0.000 6.026 0.000
3.013 3.013 5.940
Ag Se Ta
2 4 2
direct
0.500 0.500 0.000
0.250 0.750 0.500
0.375 0.352 0.750
0.875 0.898 0.750
0.648 0.125 0.250
0.102 0.625 0.250
0.000 0.000 0.000
0.750 0.250 0.500
```

Energy relative to the elements, uncorrected: -0.028 eV/atom

---

Record 7
This record from Alexandria describes a geometry-optimized PuAlIn6 structure. The functional is PBE.

Cell and atoms, written as POSCAR:
```
PuAlIn6
1.0
4.225 0.000 0.000
0.000 6.890 -0.042
0.000 0.046 6.890
Al In Pu
1 6 1
direct
0.500 0.500 0.500
0.500 0.500 0.000
0.000 0.265 0.265
0.500 0.000 0.500
0.000 0.735 0.265
0.000 0.265 0.735
0.000 0.735 0.735
0.500 0.000 0.000
```

ΔE_f: -15 meV/atom

---

Record 8
This record from Alexandria describes a geometry-optimized AlZn2CrGa structure. The functional is PBE.

Cell and atoms, written as POSCAR:
```
AlZn2CrGa
1.0
-1.359 4.671 0.058
-4.309 -1.276 1.816
1.765 0.458 4.510
Ga Zn Al Cr
1 2 1 1
direct
0.500 0.500 0.500
0.500 0.000 0.000
0.000 0.000 0.500
0.000 0.500 0.000
0.000 0.000 0.000
```

ΔE_f: 680 meV/atom

---

Record 9
This record from Alexandria describes a geometry-optimized DyZrAu2 structure. The functional is PBE.

Cell and atoms, written as POSCAR:
```
DyZrAu2
1.0
3.762 0.000 0.000
1.881 3.258 0.000
1.881 1.086 7.806
Zr Dy Au
1 1 2
direct
0.000 0.000 0.000
0.500 0.500 0.500
0.745 0.745 0.765
0.255 0.255 0.235
```

ΔE_f: -456 meV/atom

---

Record 10
This record from Alexandria describes a geometry-optimized SrMg3C structure. The functional is PBE.

Cell and atoms, written as POSCAR:
```
SrMg3C
1.0
4.787 0.000 0.000
0.000 4.787 0.000
0.000 0.000 4.787
Mg Sr C
3 1 1
direct
0.500 0.000 0.000
0.000 0.500 0.000
0.000 0.000 0.500
0.500 0.500 0.500
0.000 0.000 0.000
```

ΔE_f: 443 meV/atom

---

What did we get for density of states at the Fermi level? Answer: 2.51; 8.98; 0.00; 2.15; 3.02; 4.84; 15.24; 2.94; 3.00; 3.98 states/eV/cell, in the order shown.
What did we get for total magnetization? Answer: 0.00; 0.00; 0.00; 0.00; 1.32; 3.78; 6.07; 3.33; 0.00; 0.00 μB/cell, in the order shown.